No. 1
A plane-wave DFT calculation with PBE was carried out for crystalline LuGaO3 at its relaxed geometry.

Cell: 3.4578 3.4578 11.7139 Å, 90.00 90.00 120.00°
Space group P6_3/mmc (No. 194)
Inequivalent atoms, fractional coordinates:
Lu1 0.0000 0.0000 0.0000 x2
Ga1 0.3333 0.6667 0.2500 x2
O1 0.0000 0.0000 0.2500 x2
O2 0.3333 0.6667 0.0853 x4

Output
Density of states at the Fermi level in states/eV/cell: 0.00
Total magnetization in μB per formula unit: 0.0
ΔE_f (raw) in eV per atom: -2.78



No. 2
A plane-wave DFT calculation with PBE was carried out for crystalline Lu2Ga2O5 at its relaxed geometry.

Cell: 3.8896 3.8896 6.7376 Å, 90.00 90.00 90.00°
Space group P4/mmm (No. 123)
Inequivalent atoms, fractional coordinates:
Lu1 0.0000 0.0000 0.0000 x1
Lu2 0.0000 0.0000 0.5000 x1
Ga1 0.5000 0.5000 0.2025 x2
O1 0.0000 0.5000 0.2335 x4
O2 0.5000 0.5000 0.5000 x1

Output
Density of states at the Fermi level in states/eV/cell: 0.49
Total magnetization in μB per formula unit: 0.0
ΔE_f (raw) in eV per atom: -2.18



No. 3
A plane-wave DFT calculation with PBE was carried out for crystalline LuGaO3 at its relaxed geometry.

Cell: 5.5454 7.5554 5.2120 Å, 90.00 90.00 90.00°
Space group Pnma (No. 62)
Inequivalent atoms, fractional coordinates:
Lu1 0.0727 0.2500 0.0216 x4
Ga1 0.0000 0.0000 0.5000 x4
O1 0.0474 0.7500 0.3755 x4
O2 0.1919 0.5627 0.8099 x8

Output
Density of states at the Fermi level in states/eV/cell: 0.00
Total magnetization in μB per formula unit: 0.0
ΔE_f (raw) in eV per atom: -2.75



No. 4
A plane-wave DFT calculation with PBE was carried out for crystalline Lu3Ga5O12 at its relaxed geometry.

Cell: 12.2654 12.2654 12.2654 Å, 90.00 90.00 90.00°
Space group Ia-3d (No. 230)
Inequivalent atoms, fractional coordinates:
Lu1 0.0000 0.2500 0.1250 x24
Ga1 0.0000 0.0000 0.0000 x16
Ga2 0.0000 0.2500 0.3750 x24
O1 0.0255 0.0577 0.6513 x96

Output
Density of states at the Fermi level in states/eV/cell: 0.00
Total magnetization in μB per formula unit: 0.0
ΔE_f (raw) in eV per atom: -2.57



No. 5
A plane-wave DFT calculation with PBE was carried out for crystalline LuGaO3 at its relaxed geometry.

Cell: 5.9844 5.9844 11.6448 Å, 90.00 90.00 120.00°
Space group P6_3cm (No. 185)
Inequivalent atoms, fractional coordinates:
Lu1 0.0000 0.0000 0.0000 x2
Lu2 0.3333 0.6667 0.4595 x4
Ga1 0.0000 0.3339 0.2262 x6
O1 0.0000 0.0000 0.2011 x2
O2 0.0000 0.3060 0.3911 x6
O3 0.0000 0.3607 0.0628 x6
O4 0.3333 0.6667 0.2474 x4

Output
Density of states at the Fermi level in states/eV/cell: 0.00
Total magnetization in μB per formula unit: 0.0
ΔE_f (raw) in eV per atom: -2.80



No. 6
A plane-wave DFT calculation with PBE was carried out for crystalline LuGaO2 at its relaxed geometry.

Cell: 3.3409 3.3409 19.2723 Å, 90.00 90.00 120.00°
Space group R-3m (No. 166, hexagonal axes)
Inequivalent atoms, fractional coordinates:
Lu1 0.0000 0.0000 0.0000 x3
Ga1 0.0000 0.0000 0.5000 x3
O1 0.0000 0.0000 0.3901 x6

Output
Density of states at the Fermi level in states/eV/cell: 2.81
Total magnetization in μB per formula unit: 0.0
ΔE_f (raw) in eV per atom: -2.43



No. 7
A plane-wave DFT calculation with PBE was carried out for crystalline Pr3Lu2Ga3O12 at its relaxed geometry.

Cell: 13.0394 13.0394 13.0394 Å, 90.00 90.00 90.00°
Space group Ia-3d (No. 230)
Inequivalent atoms, fractional coordinates:
Pr1 0.0000 0.2500 0.1250 x24
Lu1 0.0000 0.0000 0.0000 x16
Ga1 0.0000 0.2500 0.3750 x24
O1 0.0308 0.0568 0.6560 x96

Output
Density of states at the Fermi level in states/eV/cell: 0.00
Total magnetization in μB per formula unit: 0.0
ΔE_f (raw) in eV per atom: -2.95



No. 8
A plane-wave DFT calculation with PBE was carried out for crystalline PrLuGaOs at its relaxed geometry.

Cell: 7.0505 7.0505 7.0505 Å, 90.00 90.00 90.00°
Space group F-43m (No. 216)
Inequivalent atoms, fractional coordinates:
Pr1 0.0000 0.0000 0.0000 x4
Lu1 0.0000 0.0000 0.5000 x4
Ga1 0.2500 0.2500 0.2500 x4
Os1 0.2500 0.2500 0.7500 x4

Output
Density of states at the Fermi level in states/eV/cell: 10.80
Total magnetization in μB per formula unit: 0.0
Total energy in eV/atom: -6.139



No. 9
A plane-wave DFT calculation with PBE was carried out for crystalline LuPuGaOs at its relaxed geometry.

Cell: 6.8799 6.8799 6.8799 Å, 90.00 90.00 90.00°
Space group F-43m (No. 216)
Inequivalent atoms, fractional coordinates:
Lu1 0.0000 0.0000 0.0000 x4
Pu1 0.0000 0.0000 0.5000 x4
Ga1 0.2500 0.2500 0.2500 x4
Os1 0.2500 0.2500 0.7500 x4

Output
Density of states at the Fermi level in states/eV/cell: 27.90
Total magnetization in μB per formula unit: 4.8
Total energy in eV/atom: -8.516



No. 10
A plane-wave DFT calculation with PBE was carried out for crystalline LuScGaOs at its relaxed geometry.

Cell: 6.6866 6.6866 6.6866 Å, 90.00 90.00 90.00°
Space group F-43m (No. 216)
Inequivalent atoms, fractional coordinates:
Lu1 0.0000 0.0000 0.0000 x4
Sc1 0.0000 0.0000 0.5000 x4
Ga1 0.2500 0.2500 0.2500 x4
Os1 0.2500 0.2500 0.7500 x4

Output
Density of states at the Fermi level in states/eV/cell: 13.99
Total magnetization in μB per formula unit: 0.0
Total energy in eV/atom: -6.740



No. 11
A plane-wave DFT calculation with PBE was carried out for crystalline LuTiGaOs at its relaxed geometry.

Cell: 6.5420 6.5420 6.5420 Å, 90.00 90.00 90.00°
Space group F-43m (No. 216)
Inequivalent atoms, fractional coordinates:
Lu1 0.0000 0.0000 0.0000 x4
Ti1 0.0000 0.0000 0.5000 x4
Ga1 0.2500 0.2500 0.2500 x4
Os1 0.2500 0.2500 0.7500 x4

Output
Density of states at the Fermi level in states/eV/cell: 6.87
Total magnetization in μB per formula unit: 0.0
Total energy in eV/atom: -7.025



No. 12
A plane-wave DFT calculation with PBE was carried out for crystalline YLuGaOs at its relaxed geometry.

Cell: 6.9003 6.9003 6.9003 Å, 90.00 90.00 90.00°
Space group F-43m (No. 216)
Inequivalent atoms, fractional coordinates:
Y1 0.0000 0.0000 0.0000 x4
Lu1 0.0000 0.0000 0.5000 x4
Ga1 0.2500 0.2500 0.2500 x4
Os1 0.2500 0.2500 0.7500 x4

Output
Density of states at the Fermi level in states/eV/cell: 12.03
Total magnetization in μB per formula unit: 0.0
Total energy in eV/atom: -6.696



No. 13
A plane-wave DFT calculation with PBE was carried out for crystalline LuZrGaOs at its relaxed geometry.

Cell: 6.7356 6.7356 6.7356 Å, 90.00 90.00 90.00°
Space group F-43m (No. 216)
Inequivalent atoms, fractional coordinates:
Lu1 0.0000 0.0000 0.0000 x4
Zr1 0.0000 0.0000 0.5000 x4
Ga1 0.2500 0.2500 0.7500 x4
Os1 0.2500 0.2500 0.2500 x4

Output
Density of states at the Fermi level in states/eV/cell: 5.83
Total magnetization in μB per formula unit: 0.0
Total energy in eV/atom: -7.251



No. 14
A plane-wave DFT calculation with PBE was carried out for crystalline Lu2GaP at its relaxed geometry.

Cell: 3.6854 3.6854 27.3149 Å, 90.00 90.00 120.00°
Space group R-3m (No. 166, hexagonal axes)
Inequivalent atoms, fractional coordinates:
Lu1 0.0000 0.0000 0.1079 x6
Ga1 0.0000 0.0000 0.0000 x3
P1 0.0000 0.0000 0.5000 x3

Output
Density of states at the Fermi level in states/eV/cell: 12.48
Total magnetization in μB per formula unit: 0.0
Total energy in eV/atom: -4.898



No. 15
A plane-wave DFT calculation with PBE was carried out for crystalline Lu2PaGa at its relaxed geometry.

Cell: 3.3654 3.3654 30.2525 Å, 90.00 90.00 120.00°
Space group R-3m (No. 166, hexagonal axes)
Inequivalent atoms, fractional coordinates:
Lu1 0.0000 0.0000 0.2433 x6
Pa1 0.0000 0.0000 0.0000 x3
Ga1 0.0000 0.0000 0.5000 x3

Output
Density of states at the Fermi level in states/eV/cell: 13.51
Total magnetization in μB per formula unit: 0.0
Total energy in eV/atom: -5.518



No. 16
A plane-wave DFT calculation with PBE was carried out for crystalline Lu2PaGa at its relaxed geometry.

Cell: 4.6487 4.6487 4.4461 Å, 90.00 90.00 90.00°
Space group P4/mmm (No. 123)
Inequivalent atoms, fractional coordinates:
Lu1 0.0000 0.5000 0.0000 x2
Pa1 0.0000 0.0000 0.5000 x1
Ga1 0.5000 0.5000 0.5000 x1

Output
Density of states at the Fermi level in states/eV/cell: 3.25
Total magnetization in μB per formula unit: 0.0
Total energy in eV/atom: -5.460



No. 17
A plane-wave DFT calculation with PBE was carried out for crystalline Lu2PaGa at its relaxed geometry.

Cell: 3.3385 3.3385 8.7128 Å, 90.00 90.00 90.00°
Space group P4/mmm (No. 123)
Inequivalent atoms, fractional coordinates:
Lu1 0.0000 0.0000 0.2207 x2
Pa1 0.5000 0.5000 0.5000 x1
Ga1 0.5000 0.5000 0.0000 x1

Output
Density of states at the Fermi level in states/eV/cell: 4.94
Total magnetization in μB per formula unit: 0.4
Total energy in eV/atom: -5.585



No. 18
A plane-wave DFT calculation with PBE was carried out for crystalline LuPaGa at its relaxed geometry.

Cell: 5.0262 5.0262 3.2494 Å, 90.00 90.00 120.00°
Space group P3m1 (No. 156)
Inequivalent atoms, fractional coordinates:
Lu1 0.0000 0.0000 0.0000 x1
Pa1 0.6667 0.3333 0.4699 x1
Ga1 0.3333 0.6667 0.8094 x1

Output
Density of states at the Fermi level in states/eV/cell: 4.74
Total magnetization in μB per formula unit: 0.1
Total energy in eV/atom: -5.660